No. 1
The following is a GGA-PBEsol calculation of a geometry-optimized KBePt2 structure, from Alexandria.

Structure (POSCAR):
```
KBePt2
1.0
2.798 0.000 0.000
0.000 2.798 0.000
0.000 0.000 8.107
Be K Pt
1 1 2
direct
0.500 0.500 0.000
0.500 0.500 0.500
0.000 0.000 0.824
0.000 0.000 0.176
```

**Density of states at the Fermi level**: 1.1 states/eV/cell
**Density**: 11.5 g/cm3
**DFT formation energy**: -0.24 eV per atom
**Symmetry**: P4/mmm (123)


No. 2
The following is a GGA-PBEsol calculation of a geometry-optimized KBePt2 structure, from Alexandria.

Structure (POSCAR):
```
KBePt2
1.0
3.082 0.000 0.000
0.000 3.082 0.000
0.000 0.000 7.511
Be K Pt
1 1 2
direct
0.000 0.000 0.381
0.500 0.500 0.749
0.000 0.000 0.065
0.500 0.500 0.304
```

**Density of states at the Fermi level**: 1.6 states/eV/cell
**Density**: 10.2 g/cm3
**DFT formation energy**: 0.02 eV per atom
**Symmetry**: P4mm (99)